# CrC2IO | Alexandria | PBE+U | optimized geometry
# E_tot ... -4.655 eV/atom
# Total magnetic moment ... 0.54 μB per formula unit
data_CrC2IO
_chemical_formula_sum 'Cr1 C2 I1 O1'
_cell_length_a 3.6691
_cell_length_b 3.6691
_cell_length_c 5.6376
_cell_angle_alpha 90.00
_cell_angle_beta 90.00
_cell_angle_gamma 90.00
_symmetry_space_group_name_H-M 'P 4/m m m'
_symmetry_Int_Tables_number 123
_symmetry_space_group_name_Hall '-P 4 2'
loop_
_atom_site_label
_atom_site_type_symbol
_atom_site_fract_x
_atom_site_fract_y
_atom_site_fract_z
Cr1 Cr 0.0000 0.0000 0.0000
C1 C 0.0000 0.5000 0.0000
I1 I 0.0000 0.0000 0.5000
O1 O 0.5000 0.5000 0.5000